[1]
# Rb8Fe2O7, relaxed, DFT PBEsol
data_Rb8Fe2O7
_chemical_formula_sum 'Rb32 Fe8 O28'
_cell_length_a 9.945
_cell_length_b 12.596
_cell_length_c 11.527
_cell_angle_alpha 90.00
_cell_angle_beta 106.39
_cell_angle_gamma 90.00
_space_group_name_H-M_alt 'P 1 21/c 1'
_space_group_IT_number 14
_space_group_name_Hall '-P 2ybc'
loop_
_atom_site_label
_atom_site_fract_x
_atom_site_fract_y
_atom_site_fract_z
Rb1 0.010 0.234 0.349
Rb2 0.073 0.526 0.642
Rb3 0.165 0.016 0.478
Rb4 0.203 0.746 0.455
Rb5 0.261 0.050 0.775
Rb6 0.386 0.510 0.587
Rb7 0.407 0.244 0.447
Rb8 0.432 0.554 0.866
Fe1 0.214 0.212 0.147
Fe2 0.405 0.701 0.248
O1 0.081 0.174 0.612
O2 0.178 0.126 0.008
O3 0.205 0.125 0.279
O4 0.272 0.688 0.706
O5 0.377 0.607 0.114
O6 0.391 0.626 0.384
O7 0.406 0.225 0.699
# - ΔE_f (raw): -1218.3 meV/atom
# - Total magnetization: 40.00 μB per cell

---

[2]
# Rb3FeO3, relaxed, DFT PBEsol
data_Rb3FeO3
_chemical_formula_sum 'Rb12 Fe4 O12'
_cell_length_a 7.412
_cell_length_b 11.391
_cell_length_c 6.717
_cell_angle_alpha 90.00
_cell_angle_beta 103.17
_cell_angle_gamma 90.00
_space_group_name_H-M_alt 'C 1 2/m 1'
_space_group_IT_number 12
_space_group_name_Hall '-C 2y'
loop_
_atom_site_label
_atom_site_fract_x
_atom_site_fract_y
_atom_site_fract_z
Rb1 0.000 0.188 0.000
Rb2 0.000 0.258 0.500
Rb3 0.126 0.500 0.845
Fe1 0.168 0.000 0.647
O1 0.094 0.000 0.346
O2 0.212 0.367 0.234
# - ΔE_f (raw): -1308.1 meV/atom
# - Total magnetization: 20.11 μB per cell

---

[3]
# Rb5FeO4, relaxed, DFT PBEsol
data_Rb5FeO4
_chemical_formula_sum 'Rb10 Fe2 O8'
_cell_length_a 7.837
_cell_length_b 8.614
_cell_length_c 6.526
_cell_angle_alpha 90.00
_cell_angle_beta 90.00
_cell_angle_gamma 90.00
_space_group_name_H-M_alt 'P m m n'
_space_group_IT_number 59
loop_
_space_group_symop_operation_xyz
'x,y,z'
'-x,-y,-z'
'-x+1/2,-y+1/2,z'
'x+1/2,y+1/2,-z'
'x+1/2,-y,-z'
'-x+1/2,y,z'
'-x,y+1/2,-z'
'x,-y+1/2,z'
loop_
_atom_site_label
_atom_site_fract_x
_atom_site_fract_y
_atom_site_fract_z
Rb1 0.012 0.058 0.236
Rb2 0.250 0.750 0.361
Fe1 0.250 0.250 0.706
O1 0.045 0.250 0.866
O2 0.250 0.062 0.547
# - ΔE_f (raw): -1175.5 meV/atom
# - Total magnetization: 10.00 μB per cell

---

[4]
# Rb3FeO, relaxed, DFT PBEsol
data_Rb3FeO
_chemical_formula_sum 'Rb3 Fe1 O1'
_cell_length_a 5.558
_cell_length_b 5.558
_cell_length_c 5.558
_cell_angle_alpha 90.00
_cell_angle_beta 90.00
_cell_angle_gamma 90.00
_space_group_name_H-M_alt 'P m -3 m'
_space_group_IT_number 221
_space_group_name_Hall '-P 4 2 3'
loop_
_atom_site_label
_atom_site_fract_x
_atom_site_fract_y
_atom_site_fract_z
Rb1 0.000 0.000 0.500
Fe1 0.500 0.500 0.500
O1 0.000 0.000 0.000
# - ΔE_f (raw): 193.6 meV/atom
# - Total magnetization: 3.08 μB per cell

---

[5]
# Sr4Fe3ReO12, relaxed, DFT PBEsol
data_Sr4Fe3ReO12
_chemical_formula_sum 'Sr8 Fe6 Re2 O24'
_cell_length_a 7.715
_cell_length_b 7.715
_cell_length_c 7.715
_cell_angle_alpha 90.00
_cell_angle_beta 90.00
_cell_angle_gamma 90.00
_space_group_name_H-M_alt 'I m -3 m'
_space_group_IT_number 229
_space_group_name_Hall '-I 4 2 3'
loop_
_atom_site_label
_atom_site_fract_x
_atom_site_fract_y
_atom_site_fract_z
Sr1 0.250 0.250 0.250
Fe1 0.000 0.000 0.500
Re1 0.000 0.000 0.000
O1 0.000 0.000 0.247
O2 0.000 0.250 0.500
# - ΔE_f (raw): -2108.8 meV/atom
# - Total magnetization: 19.72 μB per cell

---

[6]
# FeRhO3, relaxed, DFT PBEsol
data_FeRhO3
_chemical_formula_sum 'Fe1 Rh1 O3'
_cell_length_a 3.809
_cell_length_b 3.809
_cell_length_c 3.809
_cell_angle_alpha 90.00
_cell_angle_beta 90.00
_cell_angle_gamma 90.00
_space_group_name_H-M_alt 'P m -3 m'
_space_group_IT_number 221
_space_group_name_Hall '-P 4 2 3'
loop_
_atom_site_label
_atom_site_fract_x
_atom_site_fract_y
_atom_site_fract_z
Fe1 0.000 0.000 0.000
Rh1 0.500 0.500 0.500
O1 0.000 0.500 0.500
# - ΔE_f (raw): -80.6 meV/atom
# - Total magnetization: 5.15 μB per cell

---

[7]
# FeSiRh2O, relaxed, DFT PBEsol
data_FeSiRh2O
_chemical_formula_sum 'Fe1 Si1 Rh2 O1'
_cell_length_a 4.599
_cell_length_b 4.599
_cell_length_c 3.249
_cell_angle_alpha 90.00
_cell_angle_beta 90.00
_cell_angle_gamma 90.00
_space_group_name_H-M_alt 'P 4/m m m'
_space_group_IT_number 123
_space_group_name_Hall '-P 4 2'
loop_
_atom_site_label
_atom_site_fract_x
_atom_site_fract_y
_atom_site_fract_z
Fe1 0.000 0.000 0.000
Si1 0.500 0.500 0.500
Rh1 0.000 0.500 0.500
O1 0.500 0.500 0.000
# - ΔE_f (raw): 147.8 meV/atom
# - Total magnetization: 4.34 μB per cell

---

[8]
# Fe2S3O12, relaxed, DFT PBEsol
data_Fe2S3O12
_chemical_formula_sum 'Fe12 S18 O72'
_cell_length_a 7.9406
_cell_length_b 7.9406
_cell_length_c 21.4459
_cell_angle_alpha 90.00
_cell_angle_beta 90.00
_cell_angle_gamma 120.00
_space_group_name_H-M_alt 'R -3'
_space_group_IT_number 148
_space_group_name_Hall '-R 3'
loop_
_atom_site_label
_atom_site_fract_x
_atom_site_fract_y
_atom_site_fract_z
Fe1 0.0000 0.0000 0.1429
Fe2 0.0000 0.0000 0.3483
S1 0.0014 0.7128 0.7494
O1 0.0074 0.2049 0.1900
O2 0.0395 0.8347 0.0877
O3 0.0917 0.8671 0.7003
O4 0.0931 0.8658 0.4002
# - ΔE_f (raw): -1209.7 meV/atom
# - Total magnetization: 12.00 μB per cell
# - Offset from the most stable computed form: 0.000 eV/f.u.

---

[9]
# Fe2S3O12, relaxed, DFT PBEsol
data_Fe2S3O12
_chemical_formula_sum 'Fe8 S12 O48'
_cell_length_a 7.992
_cell_length_b 8.288
_cell_length_c 13.692
_cell_angle_alpha 90.00
_cell_angle_beta 124.81
_cell_angle_gamma 90.00
_space_group_name_H-M_alt 'P 1 21/c 1'
_space_group_IT_number 14
_space_group_name_Hall '-P 2ybc'
loop_
_atom_site_label
_atom_site_fract_x
_atom_site_fract_y
_atom_site_fract_z
Fe1 0.131 0.032 0.383
Fe2 0.366 0.035 0.113
S1 0.033 0.617 0.644
S2 0.256 0.119 0.651
S3 0.456 0.748 0.992
O1 0.029 0.720 0.188
O2 0.121 0.502 0.744
O3 0.122 0.076 0.689
O4 0.154 0.083 0.524
O5 0.165 0.615 0.600
O6 0.181 0.070 0.949
O7 0.254 0.674 0.943
O8 0.287 0.204 0.171
O9 0.384 0.126 0.441
O10 0.449 0.026 0.721
O11 0.453 0.684 0.390
O12 0.491 0.627 0.579
# - ΔE_f (raw): -1198.8 meV/atom
# - Total magnetization: 8.00 μB per cell
# - Offset from the most stable computed form: 0.184 eV/f.u.

---

[10]
# SrFe2S2O, relaxed, DFT PBEsol
data_SrFe2S2O
_chemical_formula_sum 'Sr2 Fe4 S4 O2'
_cell_length_a 3.655
_cell_length_b 8.815
_cell_length_c 6.000
_cell_angle_alpha 90.00
_cell_angle_beta 90.00
_cell_angle_gamma 90.00
_space_group_name_H-M_alt 'P m m n'
_space_group_IT_number 59
loop_
_space_group_symop_operation_xyz
'x,y,z'
'-x,-y,-z'
'-x+1/2,-y+1/2,z'
'x+1/2,y+1/2,-z'
'x+1/2,-y,-z'
'-x+1/2,y,z'
'-x,y+1/2,-z'
'x,-y+1/2,z'
loop_
_atom_site_label
_atom_site_fract_x
_atom_site_fract_y
_atom_site_fract_z
Sr1 0.250 0.250 0.014
Fe1 0.250 0.557 0.623
S1 0.250 0.549 0.265
O1 0.250 0.750 0.711
# - ΔE_f (raw): -1174.0 meV/atom
# - Total magnetization: 0.01 μB per cell

---

[11]
# Fe2SbO, relaxed, DFT PBEsol
data_Fe2SbO
_chemical_formula_sum 'Fe8 Sb4 O4'
_cell_length_a 5.893
_cell_length_b 5.893
_cell_length_c 5.893
_cell_angle_alpha 90.00
_cell_angle_beta 90.00
_cell_angle_gamma 90.00
_space_group_name_H-M_alt 'F m -3 m'
_space_group_IT_number 225
_space_group_name_Hall '-F 4 2 3'
loop_
_atom_site_label
_atom_site_fract_x
_atom_site_fract_y
_atom_site_fract_z
Fe1 0.250 0.250 0.250
Sb1 0.000 0.000 0.000
O1 0.000 0.000 0.500
# - ΔE_f (raw): 323.4 meV/atom
# - Total magnetization: 16.63 μB per cell

---

[12]
# FeSbO2, relaxed, DFT PBEsol
data_FeSbO2
_chemical_formula_sum 'Fe3 Sb3 O6'
_cell_length_a 3.6462
_cell_length_b 3.6462
_cell_length_c 16.6748
_cell_angle_alpha 90.00
_cell_angle_beta 90.00
_cell_angle_gamma 120.00
_space_group_name_H-M_alt 'R -3 m'
_space_group_IT_number 166
_space_group_name_Hall '-R 3 2"'
loop_
_atom_site_label
_atom_site_fract_x
_atom_site_fract_y
_atom_site_fract_z
Fe1 0.0000 0.0000 0.0000
Sb1 0.0000 0.0000 0.5000
O1 0.0000 0.0000 0.1081
# - ΔE_f (raw): -582.3 meV/atom
# - Total magnetization: 9.26 μB per cell

---

[13]
# FeSb2O4, relaxed, DFT PBEsol
data_FeSb2O4
_chemical_formula_sum 'Fe4 Sb8 O16'
_cell_length_a 8.412
_cell_length_b 8.412
_cell_length_c 5.804
_cell_angle_alpha 90.00
_cell_angle_beta 90.00
_cell_angle_gamma 90.00
_space_group_name_H-M_alt 'P 42/m b c'
_space_group_IT_number 135
_space_group_name_Hall '-P 4c 2ab'
loop_
_atom_site_label
_atom_site_fract_x
_atom_site_fract_y
_atom_site_fract_z
Fe1 0.000 0.500 0.250
Sb1 0.161 0.165 0.000
O1 0.099 0.353 0.500
O2 0.172 0.672 0.250
# - ΔE_f (raw): -1184.1 meV/atom
# - Total magnetization: 16.13 μB per cell

---

[14]
# FeSbO2, relaxed, DFT PBEsol
data_FeSbO2
_chemical_formula_sum 'Fe4 Sb4 O8'
_cell_length_a 4.993
_cell_length_b 4.993
_cell_length_c 9.378
_cell_angle_alpha 90.00
_cell_angle_beta 90.00
_cell_angle_gamma 90.00
_space_group_name_H-M_alt 'I -4 2 d'
_space_group_IT_number 122
_space_group_name_Hall 'I -4 2bw'
loop_
_atom_site_label
_atom_site_fract_x
_atom_site_fract_y
_atom_site_fract_z
Fe1 0.000 0.000 0.000
Sb1 0.000 0.000 0.500
O1 0.175 0.750 0.125
# - ΔE_f (raw): -616.3 meV/atom
# - Total magnetization: 13.93 μB per cell

---

[15]
# Sr2FeSbO6, relaxed, DFT PBEsol
data_Sr2FeSbO6
_chemical_formula_sum 'Sr8 Fe4 Sb4 O24'
_cell_length_a 7.933
_cell_length_b 7.933
_cell_length_c 7.933
_cell_angle_alpha 90.00
_cell_angle_beta 90.00
_cell_angle_gamma 90.00
_space_group_name_H-M_alt 'F m -3 m'
_space_group_IT_number 225
_space_group_name_Hall '-F 4 2 3'
loop_
_atom_site_label
_atom_site_fract_x
_atom_site_fract_y
_atom_site_fract_z
Sr1 0.250 0.250 0.250
Fe1 0.000 0.000 0.000
Sb1 0.000 0.000 0.500
O1 0.000 0.000 0.250
# - ΔE_f (raw): -2102.8 meV/atom
# - Total magnetization: 20.02 μB per cell